# Gd4GeI6

A relaxed Gd4GeI6 crystal (PBE, OQMD via LeMat-Bulk).

a = 11.617 Å, b = 11.617 Å, c = 13.627 Å
α = 95.51°, β = 95.51°, γ = 63.48°
Positions (direct):
1 Gd 0.214 0.455 0.457
2 Gd 0.287 0.526 0.189
3 Gd 0.113 0.815 0.394
4 Gd 0.786 0.545 0.543
5 Gd 0.185 0.887 0.106
6 Gd 0.455 0.214 0.957
7 Gd 0.545 0.786 0.043
8 Gd 0.357 0.582 0.908
9 Gd 0.887 0.185 0.606
10 Gd 0.713 0.474 0.811
11 Gd 0.582 0.357 0.408
12 Gd 0.526 0.287 0.689
13 Gd 0.474 0.713 0.311
14 Gd 0.643 0.418 0.092
15 Gd 0.418 0.643 0.592
16 Gd 0.815 0.113 0.894
17 I 0.192 0.455 0.973
18 I 0.545 0.808 0.527
19 I 0.055 0.306 0.534
20 I 0.015 0.772 0.179
21 I 0.772 0.015 0.679
22 I 0.694 0.945 0.966
23 I 0.623 0.860 0.247
24 I 0.749 0.470 0.314
25 I 0.530 0.251 0.186
26 I 0.843 0.086 0.395
27 I 0.808 0.545 0.027
28 I 0.377 0.140 0.753
29 I 0.140 0.377 0.253
30 I 0.228 0.985 0.321
31 I 0.945 0.694 0.466
32 I 0.086 0.843 0.895
33 I 0.251 0.530 0.686
34 I 0.470 0.749 0.814
35 I 0.985 0.228 0.821
36 I 0.860 0.623 0.747
37 I 0.157 0.914 0.605
38 I 0.306 0.055 0.034
39 I 0.914 0.157 0.105
40 I 0.455 0.192 0.473
41 Ge 0.413 0.656 0.107
42 Ge 0.344 0.587 0.393
43 Ge 0.656 0.413 0.607
44 Ge 0.587 0.344 0.893

Results
space-group type	C2/c, No. 15
total energy	-4.24	eV/atom